[1]
The following is a DFT calculation (PBE) of crystalline ScRePd2 at its relaxed geometry.

Unit cell a=3.9304 b=3.9304 c=18.2552 alpha=90.00 beta=90.00 gamma=90.00
With the nearest neighbours (Å) after each atom.
Positions (direct):
Sc 0.0000 0.0000 0.0000  4 Pd 2.69, 4 Re 2.78
Sc 0.0000 0.5000 0.2500  4 Pd 2.69, 4 Re 2.78
Sc 0.5000 0.0000 0.7500  4 Pd 2.69, 4 Re 2.78
Sc 0.5000 0.5000 0.5000  4 Pd 2.69, 4 Re 2.78
Re 0.0000 0.0000 0.5000  4 Pd 2.66, 4 Sc 2.78
Re 0.0000 0.5000 0.7500  4 Pd 2.66, 4 Sc 2.78
Re 0.5000 0.0000 0.2500  4 Pd 2.66, 4 Sc 2.78
Re 0.5000 0.5000 0.0000  4 Pd 2.66, 4 Sc 2.78
Pd 0.2403 0.2500 0.6250  2 Re 2.66, 2 Sc 2.69, 4 Pd 2.73-2.83
Pd 0.2500 0.7403 0.8750  2 Re 2.66, 2 Sc 2.69, 4 Pd 2.73-2.83
Pd 0.2500 0.7597 0.3750  2 Re 2.66, 2 Sc 2.69, 4 Pd 2.73-2.83
Pd 0.2597 0.2500 0.1250  2 Re 2.66, 2 Sc 2.69, 4 Pd 2.73-2.83
Pd 0.7403 0.7500 0.1250  2 Re 2.66, 2 Sc 2.69, 4 Pd 2.73-2.83
Pd 0.7500 0.2403 0.3750  2 Re 2.66, 2 Sc 2.69, 4 Pd 2.73-2.83
Pd 0.7500 0.2597 0.8750  2 Re 2.66, 2 Sc 2.69, 4 Pd 2.73-2.83
Pd 0.7597 0.7500 0.6250  2 Re 2.66, 2 Sc 2.69, 4 Pd 2.73-2.83

## Properties
Energy of formation in meV per atom: 228
Final energy in eV per cell: -113.0
Relative energy among the computed polymorphs in eV/atom: 0.247
SG: I-42d, No. 122

[2]
The following is a DFT calculation (PBE) of crystalline YRu2Cl at its relaxed geometry.

Unit cell a=3.3295 b=3.3295 c=7.9067 alpha=90.00 beta=90.00 gamma=90.00
With the nearest neighbours (Å) after each atom.
Positions (direct):
Y 0.0000 0.0000 0.0000  4 Cl 2.87, 5 Ru 2.87-3.09
Ru 0.0000 0.0000 0.6367  4 Ru 2.51
Ru 0.5000 0.5000 0.7472  4 Ru 2.51
Cl 0.5000 0.5000 0.2072  4 Y 2.87

## Properties
Final energy in eV per cell: -27.8
Uncorrected formation energy in eV/f.u.: -0.95
Relative energy among the computed polymorphs in eV/atom: 0.090
SG: P4mm, No. 99

Computed values of Fermi-level density of states (unit: states/eV/atom) for the preceding records, in sequence: 1.116; 0.888.